1.
Ce6Sb3Te2Se: optimized geometry, PBE.

Values from the calculation:
Total DFT energy (no corrections): -6.09 eV per atom
N(E_F): 3.5241 states/eV/atom
Symmetry: C2/m
Formation energy from raw total energies: -1.28 eV/atom

Cell: 4.4755 8.8804 9.9341 Å, 102.27 103.02 90.00°
Each line ends with the local moment (μB).
Fractional coordinates of all 12 atoms:
Ce (0.3390, 0.9217, 0.6779)  0.89
Ce (0.6658, 0.5862, 0.3315)  0.88
Ce (0.6610, 0.0783, 0.3221)  0.89
Ce (0.9976, 0.2387, 0.9951)  0.93
Ce (0.0024, 0.7613, 0.0049)  0.93
Ce (0.3342, 0.4138, 0.6685)  0.88
Sb (0.5000, 0.5000, 0.0000)  -0.03
Sb (0.8302, 0.1647, 0.6604)  -0.03
Sb (0.1698, 0.8353, 0.3396)  -0.03
Te (0.8344, 0.6668, 0.6687)  -0.02
Te (0.1656, 0.3332, 0.3313)  -0.02
Se (0.5000, 0.0000, 0.0000)  -0.03

=====

2.
RbLaP2S: optimized geometry, PBE.

Values from the calculation:
Total DFT energy (no corrections): -3.46 eV per atom
N(E_F): 1.4698 states/eV/atom
Symmetry: P4/mmm
Formation energy from raw total energies: 0.71 eV/atom

Cell: 5.1627 5.1627 5.4026 Å, 90.00 90.00 90.00°
Each line ends with the local moment (μB).
Fractional coordinates of all 5 atoms:
P (0.0000, 0.5000, 0.0000)  0.04
P (0.5000, 0.0000, 0.0000)  0.04
S (0.0000, 0.0000, 0.5000)  0.08
Rb (0.0000, 0.0000, 0.0000)  0.01
La (0.5000, 0.5000, 0.5000)  0.00

=====

3.
Er8Tl3CSe3: optimized geometry, PBE.

Values from the calculation:
Total DFT energy (no corrections): -5.06 eV per atom
N(E_F): 0.4623 states/eV/atom
Symmetry: C2/m
Formation energy from raw total energies: -0.85 eV/atom

Cell: 7.8012 7.8036 8.9272 Å, 115.96 90.00 120.01°
Fractional coordinates of all 15 atoms:
Er (0.2603, 0.5207, 0.2815)
Er (0.7397, 0.4793, 0.7185)
Er (0.7906, 0.5816, 0.3068)
Er (0.2094, 0.4184, 0.6932)
Er (0.7906, 0.0151, 0.3063)
Er (0.2094, 0.9849, 0.6937)
Er (0.2244, 0.0150, 0.3062)
Er (0.7756, 0.9850, 0.6938)
Tl (0.0000, 0.0000, 0.0000)
Tl (0.0000, 0.5000, 0.0000)
Tl (0.5000, 0.5000, 0.0000)
C (0.0000, 0.0000, 0.5000)
Se (0.5000, 0.0000, 0.5000)
Se (0.5000, 0.5000, 0.5000)
Se (0.0000, 0.5000, 0.5000)